1.
VASP calculation (GGA-PBE) on a relaxed structure of PuTlZn.

Cell: 3.040 3.040 16.841 Å, 90.00 90.00 90.00°
Space group I4mm (No. 107)
Inequivalent atoms, fractional coordinates:
Pu (0.000, 0.000, 0.000) x2
Tl (0.000, 0.000, 0.659) x2
Zn (0.000, 0.000, 0.824) x2

Results
Final energy, eV per atom: -5.67
Energy of formation, eV per atom: 0.3251

=====

2.
VASP calculation (GGA-PBE) on a relaxed structure of TbDyCl.

Cell: 3.643 3.643 16.439 Å, 88.16 84.22 60.00°
Space group P1 (No. 1)
Inequivalent atoms, fractional coordinates:
Tb (0.000, 0.000, 0.000) x1
Tb (0.398, 0.725, 0.526) x1
Dy (0.154, 0.372, 0.351) x1
Dy (0.576, 0.686, 0.177) x1
Cl (0.008, 0.404, 0.637) x1
Cl (0.724, 0.654, 0.888) x1

Results
Final energy, eV per atom: -4.64
Formation energy (no corrections), eV per atom: -0.9441
Distance to the lowest polymorph of the same formula, eV/atom: 0.000

=====

3.
VASP calculation (GGA-PBE) on a relaxed structure of TaSb2Au.

Cell: 7.010 7.010 7.010 Å, 90.00 90.00 90.00°
Space group Fm-3m (No. 225)
Inequivalent atoms, fractional coordinates:
Ta (0.000, 0.000, 0.000) x4
Sb (0.250, 0.250, 0.250) x8
Au (0.000, 0.000, 0.500) x4

Results
Final energy, eV per atom: -5.43
Formation energy (no corrections), eV per atom: 0.4160

=====

final energy of number 2 (TbDyCl)?
-4.64 eV per atom